1.
Sr2LiZn3Si4: optimized geometry, GGA-PBE.

Output
Calculated total energy in eV per atom: -3.36
Space-group type: P-4m2
Formation energy from raw total energies in eV/atom: -0.28

Cell lengths 4.286, 4.286, 10.655 Å; angles 90.00, 90.00, 90.00 degrees
Sites, in units of the cell vectors:
Zn 0.000 0.500 0.136
Zn 0.500 0.000 0.864
Zn 0.000 0.000 0.500
Si 0.500 0.500 0.000
Si 0.000 0.000 0.000
Si 0.500 0.000 0.633
Si 0.000 0.500 0.367
Sr 0.500 0.000 0.253
Sr 0.000 0.500 0.747
Li 0.500 0.500 0.500

=====

2.
Rb2ZrNiBr6: optimized geometry, GGA-PBE.

Output
Calculated total energy in eV per atom: -3.78
Space-group type: I4/mmm
Formation energy from raw total energies in eV/atom: -1.15

Cell lengths 7.561, 7.561, 7.570 Å; angles 60.04, 60.04, 90.00 degrees
Sites, in units of the cell vectors:
Br 0.253 0.253 0.000
Br 0.747 0.253 0.000
Br 0.747 0.747 0.000
Br 0.748 0.748 0.504
Br 0.253 0.747 0.000
Br 0.252 0.252 0.496
Rb 0.750 0.250 0.500
Rb 0.250 0.750 0.500
Ni 0.500 0.500 0.000
Zr 0.000 0.000 0.000

=====

3.
BaLi2N: optimized geometry, GGA-PBE.

Output
Calculated total energy in eV per atom: -3.66
Space-group type: Cmcm
Formation energy from raw total energies in eV/atom: -0.14

Cell lengths 3.647, 5.793, 6.559 Å; angles 90.00, 90.00, 108.36 degrees
Sites, in units of the cell vectors:
Ba 0.539 0.078 0.750
Ba 0.461 0.922 0.250
Li 0.798 0.596 0.575
Li 0.798 0.596 0.925
Li 0.202 0.404 0.075
Li 0.202 0.404 0.425
N 0.282 0.564 0.750
N 0.718 0.436 0.250

=====

4.
SrScC: optimized geometry, GGA-PBE.

Output
E_form in eV/f.u.: -0.21
Calculated total energy in eV per atom: -5.81
Space-group type: C2/m

Cell lengths 3.927, 8.977, 9.916 Å; angles 91.40, 101.42, 90.00 degrees
Sites, in units of the cell vectors:
Sr 0.417 0.132 0.835
Sr 0.583 0.868 0.165
Sr 0.897 0.640 0.794
Sr 0.103 0.360 0.206
Sc 0.738 0.126 0.476
Sc 0.730 0.622 0.460
Sc 0.262 0.874 0.524
Sc 0.270 0.378 0.540
C 0.297 0.626 0.595
C 0.703 0.374 0.405
C 0.710 0.869 0.421
C 0.290 0.131 0.579

=====

5.
Zr2ScAl: optimized geometry, GGA-PBE.

Output
E_form in eV/f.u.: 0.75
Calculated total energy in eV per atom: -6.60
Space-group type: I-42d

Cell lengths 7.907, 7.907, 6.281 Å; angles 50.99, 50.99, 90.00 degrees
Sites, in units of the cell vectors:
Sc 0.750 0.250 0.500
Sc 0.000 0.000 0.000
Zr 0.605 0.125 0.250
Zr 0.875 0.855 0.750
Zr 0.145 0.625 0.250
Zr 0.375 0.395 0.750
Al 0.250 0.750 0.500
Al 0.500 0.500 0.000

=====

6.
GaRe3Tc: optimized geometry, GGA-PBE.

Output
E_form in eV/f.u.: 9.85
Calculated total energy in eV per atom: -8.18
Space-group type: Pm-3m
Energy above the lowest structure with this stoichiometry in meV per atom: 0

Cell lengths 4.443, 4.443, 4.443 Å; angles 90.00, 90.00, 90.00 degrees
Sites, in units of the cell vectors:
Tc 0.500 0.500 0.500
Re 0.500 0.000 0.000
Re 0.000 0.000 0.500
Re 0.000 0.500 0.000
Ga 0.000 0.000 0.000

=====

7.
TbDyCd4: optimized geometry, GGA-PBE.

Output
E_form in eV/f.u.: -1.53
Calculated total energy in eV per atom: -2.40
Space-group type: F-43m
Energy above the lowest structure with this stoichiometry in meV per atom: 63

Cell lengths 5.910, 5.910, 5.910 Å; angles 60.00, 60.00, 60.00 degrees
Sites, in units of the cell vectors:
Cd 0.625 0.625 0.625
Cd 0.625 0.625 0.125
Cd 0.125 0.625 0.625
Cd 0.625 0.125 0.625
Tb 0.000 0.000 0.000
Dy 0.250 0.250 0.250

=====

8.
NdBeAlPd3: optimized geometry, GGA-PBE.

Output
E_form in eV/f.u.: -3.80
Calculated total energy in eV per atom: -5.27
Space-group type: Cmcm

Cell lengths 6.224, 5.767, 6.638 Å; angles 115.75, 90.00, 90.00 degrees
Sites, in units of the cell vectors:
Pd 0.000 0.742 0.000
Pd 0.250 0.170 0.339
Pd 0.500 0.742 0.000
Pd 0.750 0.830 0.661
Pd 0.500 0.258 0.000
Pd 0.000 0.258 0.000
Al 0.750 0.625 0.249
Al 0.250 0.375 0.751
Be 0.250 0.967 0.933
Be 0.750 0.033 0.067
Nd 0.250 0.715 0.430
Nd 0.750 0.285 0.570

=====

What is the calculated total energy in the sixth record?
-8.18 eV per atom

=====

The lowest calculated total energy belongs to which entry?
GaRe3Tc

=====

Look up the calculated total energy of the sixth one.
-8.18 eV per atom